Record 1
# ZrScNO2 (PBEsol, optimized geometry)
# Total energy (eV per atom): -8.9254
# Formation energy without anion corrections (kJ/mol of atoms): -191
# Total magnetic moment (μB/atom): 0.00
data_ZrScNO2
_chemical_formula_sum 'Zr1 Sc1 N1 O2'
_cell_length_a 3.9798
_cell_length_b 3.9798
_cell_length_c 4.2829
_cell_angle_alpha 90.00
_cell_angle_beta 90.00
_cell_angle_gamma 90.00
_symmetry_space_group_name_H-M 'P 4/m m m'
_symmetry_Int_Tables_number 123
_symmetry_space_group_name_Hall '-P 4 2'
loop_
_atom_site_label
_atom_site_type_symbol
_atom_site_fract_x
_atom_site_fract_y
_atom_site_fract_z
Zr1 Zr 0.0000 0.0000 0.0000
Sc1 Sc 0.5000 0.5000 0.5000
N1 N 0.0000 0.0000 0.5000
O1 O 0.0000 0.5000 0.0000

Record 2
# IrC2 (PBEsol, optimized geometry)
# Total energy (eV per atom): -7.9485
# Total magnetic moment (μB/atom): 0.00
# Formation energy from the elements (eV/f.u.): 5.27
# Energy above the most stable polymorph in this dataset (eV/f.u.): 2.70
data_IrC2
_chemical_formula_sum 'Ir3 C6'
_cell_length_a 3.3230
_cell_length_b 3.3230
_cell_length_c 9.2591
_cell_angle_alpha 90.00
_cell_angle_beta 90.00
_cell_angle_gamma 120.00
_symmetry_space_group_name_H-M 'R -3 m'
_symmetry_Int_Tables_number 166
_symmetry_space_group_name_Hall '-R 3 2"'
loop_
_atom_site_label
_atom_site_type_symbol
_atom_site_fract_x
_atom_site_fract_y
_atom_site_fract_z
Ir1 Ir 0.0000 0.0000 0.0000
C1 C 0.0000 0.0000 0.2299

Question: What is the formula in the second record?
Answer: IrC2

Please write out number 1 again, unchanged.
# ZrScNO2 (PBEsol, optimized geometry)
# Total energy (eV per atom): -8.9254
# Formation energy without anion corrections (kJ/mol of atoms): -191
# Total magnetic moment (μB/atom): 0.00
data_ZrScNO2
_chemical_formula_sum 'Zr1 Sc1 N1 O2'
_cell_length_a 3.9798
_cell_length_b 3.9798
_cell_length_c 4.2829
_cell_angle_alpha 90.00
_cell_angle_beta 90.00
_cell_angle_gamma 90.00
_symmetry_space_group_name_H-M 'P 4/m m m'
_symmetry_Int_Tables_number 123
_symmetry_space_group_name_Hall '-P 4 2'
loop_
_atom_site_label
_atom_site_type_symbol
_atom_site_fract_x
_atom_site_fract_y
_atom_site_fract_z
Zr1 Zr 0.0000 0.0000 0.0000
Sc1 Sc 0.5000 0.5000 0.5000
N1 N 0.0000 0.0000 0.5000
O1 O 0.0000 0.5000 0.0000

Question: What is the formula in the first record?
Answer: ZrScNO2